Entry 1:
This record from the Open Quantum Materials Database describes an optimized crystal structure of CoAgOs. The functional is GGA-PBE.

Cell lengths 4.0386, 4.0386, 4.0386 Å; angles 60.00, 60.00, 60.00 degrees
Positions (direct):
Co (0.0000, 0.0000, 0.0000)
Ag (0.7500, 0.7500, 0.7500)
Os (0.2500, 0.2500, 0.2500)

## Properties
ΔE to the lowest computed polymorph in meV per atom: 0
DFT total energy in eV/atom: -6.1303
Formation energy in meV per atom: 922
Size of the total moment in Bohr magnetons per cell: 0.11


Entry 2:
This record from the Open Quantum Materials Database describes an optimized crystal structure of CoAg2Os. The functional is GGA-PBE.

Cell lengths 4.4273, 4.4273, 4.4273 Å; angles 60.00, 60.00, 60.00 degrees
Positions (direct):
Co (0.0000, 0.0000, 0.0000)
Ag (0.2500, 0.2500, 0.2500)
Ag (0.5000, 0.5000, 0.5000)
Os (0.7500, 0.7500, 0.7500)

## Properties
DFT total energy in eV/atom: -5.2102
Formation energy in meV per atom: 785
Size of the total moment in Bohr magnetons per cell: 3.35


Entry 3:
This record from the Open Quantum Materials Database describes an optimized crystal structure of CoAgOsPb. The functional is GGA-PBE.

Cell lengths 4.5452, 4.5452, 4.5452 Å; angles 60.00, 60.00, 60.00 degrees
Positions (direct):
Co (0.0000, 0.0000, 0.0000)
Ag (0.2500, 0.2500, 0.2500)
Os (0.5000, 0.5000, 0.5000)
Pb (0.7500, 0.7500, 0.7500)

## Properties
ΔE to the lowest computed polymorph in meV per atom: 0
DFT total energy in eV/atom: -5.3841
Size of the total moment in Bohr magnetons per cell: 1.37


Entry 4:
This record from the Open Quantum Materials Database describes an optimized crystal structure of CoAgSbOs. The functional is GGA-PBE.

Cell lengths 4.4478, 4.4478, 4.4478 Å; angles 60.00, 60.00, 60.00 degrees
Positions (direct):
Co (0.0000, 0.0000, 0.0000)
Ag (0.2500, 0.2500, 0.2500)
Sb (0.7500, 0.7500, 0.7500)
Os (0.5000, 0.5000, 0.5000)

## Properties
ΔE to the lowest computed polymorph in meV per atom: 0
DFT total energy in eV/atom: -5.8187
Size of the total moment in Bohr magnetons per cell: 0.01


Entry 5:
This record from the Open Quantum Materials Database describes an optimized crystal structure of CoSiAgOs. The functional is GGA-PBE.

Cell lengths 4.2490, 4.2490, 4.2490 Å; angles 60.00, 60.00, 60.00 degrees
Positions (direct):
Co (0.0000, 0.0000, 0.0000)
Si (0.7500, 0.7500, 0.7500)
Ag (0.2500, 0.2500, 0.2500)
Os (0.5000, 0.5000, 0.5000)

## Properties
ΔE to the lowest computed polymorph in meV per atom: 0
DFT total energy in eV/atom: -6.3085
Size of the total moment in Bohr magnetons per cell: 1.05


Entry 6:
This record from the Open Quantum Materials Database describes an optimized crystal structure of CoAgSnOs. The functional is GGA-PBE.

Cell lengths 4.4693, 4.4693, 4.4693 Å; angles 60.00, 60.00, 60.00 degrees
Positions (direct):
Co (0.0000, 0.0000, 0.0000)
Ag (0.2500, 0.2500, 0.2500)
Sn (0.7500, 0.7500, 0.7500)
Os (0.5000, 0.5000, 0.5000)

## Properties
ΔE to the lowest computed polymorph in meV per atom: 0
DFT total energy in eV/atom: -5.7832
Size of the total moment in Bohr magnetons per cell: 1.25


Entry 7:
This record from the Open Quantum Materials Database describes an optimized crystal structure of ZnCoAgOs. The functional is GGA-PBE.

Cell lengths 4.3315, 4.3315, 4.3315 Å; angles 60.00, 60.00, 60.00 degrees
Positions (direct):
Zn (0.0000, 0.0000, 0.0000)
Co (0.2500, 0.2500, 0.2500)
Ag (0.7500, 0.7500, 0.7500)
Os (0.5000, 0.5000, 0.5000)

## Properties
ΔE to the lowest computed polymorph in meV per atom: 0
DFT total energy in eV/atom: -5.0462
Formation energy in meV per atom: 559
Size of the total moment in Bohr magnetons per cell: 2.24


Entry 8:
This record from the Open Quantum Materials Database describes an optimized crystal structure of Co3AgP5. The functional is GGA-PBE.

Cell lengths 4.7413, 4.7413, 6.7951 Å; angles 90.00, 90.00, 120.00 degrees
Positions (direct):
Co (0.0000, 0.5000, 0.0000)
Co (0.5000, 0.0000, 0.0000)
Co (0.5000, 0.5000, 0.0000)
Ag (0.0000, 0.0000, 0.5000)
P (0.0000, 0.0000, 0.0000)
P (0.3333, 0.6667, 0.2727)
P (0.3333, 0.6667, 0.7273)
P (0.6667, 0.3333, 0.2727)
P (0.6667, 0.3333, 0.7273)

## Properties
DFT total energy in eV/atom: -5.5986
Size of the total moment in Bohr magnetons per cell: 0.01